# PBE-GGA NaCdSbS3, optimized geometry
data_NaCdSbS3
_chemical_formula_sum 'Na2 Cd2 Sb2 S6'
_space_group_name_H-M_alt 'P 1 21/m 1'
_space_group_IT_number 11
_space_group_name_Hall '-P 2yb'
_cell_length_a 8.227
_cell_length_b 4.000
_cell_length_c 10.743
_cell_angle_alpha 90.00
_cell_angle_beta 96.01
_cell_angle_gamma 90.00
loop_
_atom_site_label
_atom_site_fract_x
_atom_site_fract_y
_atom_site_fract_z
_atom_site_occupancy
Na1 0.240 0.250 0.241 1
Cd1 0.127 0.750 0.592 1
Sb1 0.367 0.250 0.865 1
S1 0.054 0.750 0.351 1
S2 0.341 0.750 0.062 1
S3 0.413 0.750 0.705 1
# crystal system	monoclinic
# uncorrected formation energy	-0.608	eV per atom
# density	3.3	g cm⁻³